DFT (PBE) results for YCuC after structural relaxation.

Computed properties:
Energy   -0.4921 Ry per atom
Energy of formation from the pure elements   -101.3 meV/atom
Density of states at the Fermi level   0.332 states/eV/atom

Geometry as CIF:
```
data_YCuC
_cell_length_a 3.853
_cell_length_b 4.797
_cell_length_c 5.515
_cell_angle_alpha 89.81
_cell_angle_beta 75.49
_cell_angle_gamma 89.89
_space_group_name_H-M_alt 'P 1'
_space_group_IT_number 1
_space_group_name_Hall 'P 1'
loop_
_atom_site_label
_atom_site_type_symbol
_atom_site_fract_x
_atom_site_fract_y
_atom_site_fract_z
_atom_site_occupancy
Y1 Y 0.000 0.000 0.000 1
Y2 Y 0.284 0.500 0.442 1
Cu1 Cu 0.592 0.500 0.867 1
Cu2 Cu 0.671 0.997 0.601 1
C1 C 0.186 0.002 0.518 1
C2 C 0.425 0.001 0.288 1
```